Record 1
# Pm2ScAu6, optimized geometry, DFT GGA-PBE
data_Pm2ScAu6
_symmetry_space_group_name_H-M 'P 1'
_symmetry_Int_Tables_number 1
_cell_length_a 5.2632
_cell_length_b 5.2848
_cell_length_c 8.5768
_cell_angle_alpha 72.06
_cell_angle_beta 81.01
_cell_angle_gamma 59.54
loop_
_symmetry_equiv_pos_as_xyz
'x,y,z'
loop_
_atom_site_label
_atom_site_fract_x
_atom_site_fract_y
_atom_site_fract_z
Sc1 0.0000 0.0000 0.5000
Au1 0.3273 0.3307 0.5000
Au2 0.8348 0.4844 0.1847
Pm1 0.5000 0.8348 0.8305
Au3 0.1652 0.8309 0.1847
Pm2 0.5000 0.1652 0.1695
Au4 0.8348 0.1691 0.8153
Au5 0.6727 0.6693 0.5000
Au6 0.1652 0.5156 0.8153
# D(E_F) in states/eV per cell: 5.010
# V in Å³/atom: 21.74
# Magnetic moment in μB/atom: 0.000
# Uncorrected energy in eV for the cell shown: -41.9
# Energy of formation from the pure elements in kJ/mol of formula units: -620

=====

Record 2
# Bi2Pt, optimized geometry, DFT GGA-PBE
data_Bi2Pt
_symmetry_space_group_name_H-M 'P 1'
_symmetry_Int_Tables_number 1
_cell_length_a 3.4358
_cell_length_b 3.4358
_cell_length_c 6.9693
_cell_angle_alpha 104.34
_cell_angle_beta 104.34
_cell_angle_gamma 90.28
loop_
_symmetry_equiv_pos_as_xyz
'x,y,z'
loop_
_atom_site_label
_atom_site_fract_x
_atom_site_fract_y
_atom_site_fract_z
Pt1 0.0000 0.0000 0.0000
Bi1 0.6337 0.6337 0.2687
Bi2 0.3663 0.3663 0.7313
# D(E_F) in states/eV per cell: 1.503
# V in Å³/atom: 25.68
# Magnetic moment in μB/atom: 0.000
# Uncorrected energy in eV for the cell shown: -14.2
# Energy of formation from the pure elements in kJ/mol of formula units: -38

=====

Record 3
# Ba3Na2Ir2, optimized geometry, DFT GGA-PBE
data_Ba3Na2Ir2
_symmetry_space_group_name_H-M 'P 1'
_symmetry_Int_Tables_number 1
_cell_length_a 4.5613
_cell_length_b 6.4152
_cell_length_c 11.7532
_cell_angle_alpha 75.58
_cell_angle_beta 78.82
_cell_angle_gamma 69.17
loop_
_symmetry_equiv_pos_as_xyz
'x,y,z'
loop_
_atom_site_label
_atom_site_fract_x
_atom_site_fract_y
_atom_site_fract_z
Na1 0.1257 0.1896 0.5589
Ba1 0.3461 0.5545 0.7529
Ir1 0.7350 0.5545 0.9755
Ir2 0.2650 0.4455 0.0245
Na2 0.8743 0.8104 0.4411
Ba2 0.6539 0.4455 0.2471
Ba3 0.0000 0.0000 0.0000
# D(E_F) in states/eV per cell: 5.251
# V in Å³/atom: 44.17
# Magnetic moment in μB/atom: 0.000
# Uncorrected energy in eV for the cell shown: -26.5
# Energy of formation from the pure elements in kJ/mol of formula units: -38

=====

Record 4
# CaV2FeAs, optimized geometry, DFT GGA-PBE
data_CaV2FeAs
_symmetry_space_group_name_H-M 'P 1'
_symmetry_Int_Tables_number 1
_cell_length_a 4.2763
_cell_length_b 5.2743
_cell_length_c 4.2763
_cell_angle_alpha 90.00
_cell_angle_beta 90.00
_cell_angle_gamma 90.00
loop_
_symmetry_equiv_pos_as_xyz
'x,y,z'
loop_
_atom_site_label
_atom_site_fract_x
_atom_site_fract_y
_atom_site_fract_z
Ca1 0.0000 0.5000 0.0000
Fe1 0.0000 0.0000 0.0000
V1 0.5000 0.0000 0.0000
V2 0.0000 0.0000 0.5000
As1 0.5000 0.5000 0.5000
# D(E_F) in states/eV per cell: 5.150
# V in Å³/atom: 19.29
# Magnetic moment in μB/atom: 0.000
# Uncorrected energy in eV for the cell shown: -30.6
# Energy of formation from the pure elements in kJ/mol of formula units: 269